No. 1
VASP calculation (SCAN) on a crystal of InAu3 relaxed with PBEsol.

* E: -60.251 eV per atom
* energy relative to the elements: -0.1 eV per formula unit
* spin magnetization: 0.00 μB/f.u.
* density of states at the Fermi level: 1.04 states/eV/f.u.
* space-group type: R-3m (166)

a = 5.4185 Å, b = 5.4185 Å, c = 5.4185 Å
α = 116.83°, β = 116.83°, γ = 116.83°
With the nearest neighbours (Å) after each atom.
Sites, in units of the cell vectors:
In  0.0000  0.0000  0.0000  6 Au 2.84, 2 In 2.93
Au  0.0000  0.5000  0.5000  6 Au 2.84-2.93, 2 In 2.84
Au  0.5000  0.0000  0.5000  2 In 2.84, 6 Au 2.84-2.93
Au  0.5000  0.5000  0.0000  6 Au 2.84-2.93, 2 In 2.84

---

No. 2
VASP calculation (SCAN) on a crystal of InAu3 relaxed with PBEsol.

* E: -60.362 eV per atom
* energy relative to the elements: -0.6 eV per formula unit
* spin magnetization: 0.00 μB/f.u.
* density of states at the Fermi level: 1.15 states/eV/f.u.
* space-group type: Pmmn (59)

a = 4.7127 Å, b = 5.9236 Å, c = 5.1013 Å
α = 90.00°, β = 90.00°, γ = 90.00°
With the nearest neighbours (Å) after each atom.
Sites, in units of the cell vectors:
In  0.2500  0.2500  0.1681  12 Au 2.90-2.97
In  0.7500  0.7500  0.8319  12 Au 2.90-2.97
Au  0.2500  0.5014  0.6646  8 Au 2.89-2.98, 4 In 2.91-2.97
Au  0.2500  0.7500  0.1635  4 In 2.90-2.96, 8 Au 2.92-2.95
Au  0.2500  0.9986  0.6646  8 Au 2.89-2.98, 4 In 2.91-2.97
Au  0.7500  0.0014  0.3354  8 Au 2.89-2.98, 4 In 2.91-2.97
Au  0.7500  0.2500  0.8365  4 In 2.90-2.96, 8 Au 2.92-2.95
Au  0.7500  0.4986  0.3354  8 Au 2.89-2.98, 4 In 2.91-2.97

---

No. 3
VASP calculation (SCAN) on a crystal of In3Au10 relaxed with PBEsol.

* E: -61.040 eV per atom
* energy relative to the elements: -1.8 eV per formula unit
* spin magnetization: 0.00 μB/f.u.
* density of states at the Fermi level: 3.44 states/eV/f.u.
* space-group type: P6_3/m (176)

a = 10.5554 Å, b = 10.5554 Å, c = 4.7712 Å
α = 90.00°, β = 90.00°, γ = 120.00°
With the nearest neighbours (Å) after each atom.
Sites, in units of the cell vectors:
In  0.1041  0.3626  0.2500  12 Au 2.90-2.96
In  0.2585  0.8959  0.2500  12 Au 2.90-2.96
In  0.3626  0.2585  0.7500  12 Au 2.90-2.96
In  0.6374  0.7415  0.2500  12 Au 2.90-2.96
In  0.7415  0.1041  0.7500  12 Au 2.90-2.96
In  0.8959  0.6374  0.7500  12 Au 2.90-2.96
Au  0.0236  0.5893  0.2500  8 Au 2.88-2.95, 4 In 2.91-2.93
Au  0.0511  0.1779  0.7500  8 Au 2.90-2.93, 4 In 2.95-2.96
Au  0.1268  0.9489  0.7500  8 Au 2.90-2.93, 4 In 2.95-2.96
Au  0.1779  0.1268  0.2500  8 Au 2.90-2.93, 4 In 2.95-2.96
Au  0.2072  0.7206  0.7500  9 Au 2.88-2.95, 3 In 2.90-2.95
Au  0.2794  0.4866  0.7500  9 Au 2.88-2.95, 3 In 2.90-2.95
Au  0.3333  0.6667  0.2500  3 In 2.90, 9 Au 2.92-2.95
Au  0.4107  0.4344  0.2500  8 Au 2.88-2.95, 4 In 2.91-2.93
Au  0.4344  0.0236  0.7500  8 Au 2.88-2.95, 4 In 2.91-2.93
Au  0.4866  0.2072  0.2500  9 Au 2.88-2.95, 3 In 2.90-2.95
Au  0.5134  0.7928  0.7500  9 Au 2.88-2.95, 3 In 2.90-2.95
Au  0.5656  0.9764  0.2500  8 Au 2.88-2.95, 4 In 2.91-2.93
Au  0.5893  0.5656  0.7500  8 Au 2.88-2.95, 4 In 2.91-2.93
Au  0.6667  0.3333  0.7500  3 In 2.90, 9 Au 2.92-2.95
Au  0.7206  0.5134  0.2500  9 Au 2.88-2.95, 3 In 2.90-2.95
Au  0.7928  0.2794  0.2500  9 Au 2.88-2.95, 3 In 2.90-2.95
Au  0.8221  0.8732  0.7500  8 Au 2.90-2.93, 4 In 2.95-2.96
Au  0.8732  0.0511  0.2500  8 Au 2.90-2.93, 4 In 2.95-2.96
Au  0.9489  0.8221  0.2500  8 Au 2.90-2.93, 4 In 2.95-2.96
Au  0.9764  0.4107  0.7500  8 Au 2.88-2.95, 4 In 2.91-2.93

---

No. 4
VASP calculation (SCAN) on a crystal of In3Au4 relaxed with PBEsol.

* E: -54.010 eV per atom
* energy relative to the elements: -1.3 eV per formula unit
* spin magnetization: 0.00 μB/f.u.
* density of states at the Fermi level: 1.70 states/eV/f.u.
* space-group type: I4/mmm (139)

a = 10.1509 Å, b = 10.1509 Å, c = 10.1509 Å
α = 158.87°, β = 158.87°, γ = 30.06°
With the nearest neighbours (Å) after each atom.
Sites, in units of the cell vectors:
In  0.0000  0.0000  0.0000  10 Au 2.87-2.96
In  0.2933  0.2933  0.0000  6 Au 2.69-2.89
In  0.7067  0.7067  0.0000  6 Au 2.69-2.89
Au  0.1462  0.1462  0.0000  6 In 2.87-2.89, 4 Au 3.03
Au  0.4304  0.4304  0.0000  5 In 2.69-2.96, 1 Au 2.73
Au  0.5696  0.5696  0.0000  5 In 2.69-2.96, 1 Au 2.73
Au  0.8538  0.8538  0.0000  6 In 2.87-2.89, 4 Au 3.03

---

No. 5
VASP calculation (SCAN) on a crystal of InIrAu relaxed with PBEsol.

* E: -57.745 eV per atom
* energy relative to the elements: 0.4 eV per formula unit
* spin magnetization: 0.00 μB/f.u.
* density of states at the Fermi level: 0.87 states/eV/f.u.
* space-group type: F-43m (216)

a = 4.3864 Å, b = 4.3864 Å, c = 4.3864 Å
α = 60.00°, β = 60.00°, γ = 60.00°
With the nearest neighbours (Å) after each atom.
Sites, in units of the cell vectors:
In  0.0000  0.0000  0.0000  4 Ir 2.69
Ir  0.7500  0.7500  0.7500  4 Au 2.69, 4 In 2.69
Au  0.5000  0.5000  0.5000  4 Ir 2.69

---

No. 6
VASP calculation (SCAN) on a crystal of In2IrAu relaxed with PBEsol.

* E: -51.790 eV per atom
* energy relative to the elements: -0.1 eV per formula unit
* spin magnetization: 0.00 μB/f.u.
* density of states at the Fermi level: 1.02 states/eV/f.u.
* space-group type: I-4m2 (119)

a = 5.2708 Å, b = 5.2708 Å, c = 5.2708 Å
α = 135.66°, β = 135.66°, γ = 64.51°
With the nearest neighbours (Å) after each atom.
Sites, in units of the cell vectors:
In  0.0000  0.0000  0.0000  4 Ir 2.81, 4 In 2.99, 4 Au 2.99
In  0.7500  0.2500  0.5000  4 Au 2.81, 4 In 2.99, 4 Ir 2.99
Ir  0.5000  0.5000  0.0000  8 In 2.81-2.99, 4 Au 2.99
Au  0.2500  0.7500  0.5000  8 In 2.81-2.99, 4 Ir 2.99

---

No. 7
VASP calculation (SCAN) on a crystal of InIr2Au relaxed with PBEsol.

* E: -60.798 eV per atom
* energy relative to the elements: 1.5 eV per formula unit
* spin magnetization: 0.00 μB/f.u.
* density of states at the Fermi level: 2.30 states/eV/f.u.
* space-group type: Cmmm (65)

a = 2.8359 Å, b = 2.8359 Å, c = 9.1925 Å
α = 90.00°, β = 90.00°, γ = 118.70°
With the nearest neighbours (Å) after each atom.
Sites, in units of the cell vectors:
In  0.0000  0.0000  0.0000  4 Ir 2.67, 6 In 2.84-2.89
Ir  0.5000  0.5000  0.2445  2 In 2.67, 2 Au 2.76, 6 Ir 2.84-2.89
Ir  0.5000  0.5000  0.7555  2 In 2.67, 2 Au 2.76, 6 Ir 2.84-2.89
Au  0.0000  0.0000  0.5000  4 Ir 2.76, 6 Au 2.84-2.89

---

No. 8
VASP calculation (SCAN) on a crystal of InIr2Au relaxed with PBEsol.

* E: -61.008 eV per atom
* energy relative to the elements: 0.7 eV per formula unit
* spin magnetization: 0.00 μB/f.u.
* density of states at the Fermi level: 2.22 states/eV/f.u.
* space-group type: C2/m (12)

a = 4.8167 Å, b = 4.8167 Å, c = 4.9115 Å
α = 101.17°, β = 101.17°, γ = 34.90°
With the nearest neighbours (Å) after each atom.
Sites, in units of the cell vectors:
In  0.0000  0.0000  0.0000  6 Ir 2.76-2.87, 4 Au 2.85, 2 In 2.89
Ir  0.2538  0.2538  0.7437  3 In 2.76-2.87, 3 Au 2.77-2.80, 6 Ir 2.78-2.92
Ir  0.7462  0.7462  0.2563  3 In 2.76-2.87, 3 Au 2.77-2.80, 6 Ir 2.78-2.92
Au  0.5000  0.5000  0.5000  6 Ir 2.77-2.80, 4 In 2.85, 2 Au 2.89

---

No. 9
VASP calculation (SCAN) on a crystal of InIrAu relaxed with PBEsol.

* E: -57.648 eV per atom
* energy relative to the elements: 0.7 eV per formula unit
* spin magnetization: 0.00 μB/f.u.
* density of states at the Fermi level: 1.38 states/eV/f.u.
* space-group type: P3m1 (156)

a = 2.9853 Å, b = 2.9853 Å, c = 6.6133 Å
α = 90.00°, β = 90.00°, γ = 120.00°
With the nearest neighbours (Å) after each atom.
Sites, in units of the cell vectors:
In  0.0000  0.0000  0.0000  3 Ir 2.72, 3 Au 2.86, 6 In 2.99
Ir  0.3333  0.6667  0.6813  3 In 2.72, 3 Au 2.82, 6 Ir 2.99
Au  0.6667  0.3333  0.3446  3 Ir 2.82, 3 In 2.86, 6 Au 2.99

---

No. 10
VASP calculation (SCAN) on a crystal of InIr2Au relaxed with PBEsol.

* E: -60.981 eV per atom
* energy relative to the elements: 0.8 eV per formula unit
* spin magnetization: 0.00 μB/f.u.
* density of states at the Fermi level: 3.35 states/eV/f.u.
* space-group type: Pmm2 (25)

a = 2.8387 Å, b = 3.8834 Å, c = 5.8331 Å
α = 90.00°, β = 90.00°, γ = 90.00°
With the nearest neighbours (Å) after each atom.
Sites, in units of the cell vectors:
In  0.0000  0.0000  0.0000  6 Ir 2.79-3.04, 2 In 2.84, 4 Au 2.86
Ir  0.0000  0.0000  0.4784  6 Ir 2.71-2.84, 1 In 2.79, 4 Au 2.83
Ir  0.5000  0.5000  0.2628  6 Ir 2.71-2.84, 1 Au 2.75, 4 In 2.85
Au  0.5000  0.5000  0.7351  6 Ir 2.75-3.08, 2 Au 2.84, 4 In 2.86

---

No. 11
VASP calculation (SCAN) on a crystal of K2InAu2 relaxed with PBEsol.

* E: -38.022 eV per atom
* energy relative to the elements: -1.8 eV per formula unit
* spin magnetization: 0.00 μB/f.u.
* density of states at the Fermi level: 1.65 states/eV/f.u.
* space-group type: P4/mbm (127)

a = 7.2750 Å, b = 7.2750 Å, c = 5.1959 Å
α = 90.00°, β = 90.00°, γ = 90.00°
With the nearest neighbours (Å) after each atom.
Sites, in units of the cell vectors:
K  0.1699  0.3301  0.0000  6 Au 3.28-3.43, 1 K 3.50
K  0.3301  0.8301  0.0000  6 Au 3.28-3.43, 1 K 3.50
K  0.6699  0.1699  0.0000  6 Au 3.28-3.43, 1 K 3.50
K  0.8301  0.6699  0.0000  6 Au 3.28-3.43, 1 K 3.50
In  0.0000  0.0000  0.5000  4 Au 2.83
In  0.5000  0.5000  0.5000  4 Au 2.83
Au  0.1350  0.6350  0.5000  1 Au 2.78, 2 In 2.83
Au  0.3650  0.1350  0.5000  1 Au 2.78, 2 In 2.83
Au  0.6350  0.8650  0.5000  1 Au 2.78, 2 In 2.83
Au  0.8650  0.3650  0.5000  1 Au 2.78, 2 In 2.83

---

No. 12
VASP calculation (SCAN) on a crystal of KIn2Au2 relaxed with PBEsol.

* E: -43.080 eV per atom
* energy relative to the elements: -2.0 eV per formula unit
* spin magnetization: 0.00 μB/f.u.
* density of states at the Fermi level: 1.68 states/eV/f.u.
* space-group type: I4/mmm (139)

a = 6.6115 Å, b = 6.6115 Å, c = 6.6115 Å
α = 138.52°, β = 138.52°, γ = 60.10°
With the nearest neighbours (Å) after each atom.
Sites, in units of the cell vectors:
K  0.0000  0.0000  0.0000  8 Au 3.57, 8 In 3.70
In  0.2500  0.7500  0.5000  4 Au 2.79
In  0.7500  0.2500  0.5000  4 Au 2.79
Au  0.3823  0.3823  0.0000  1 Au 2.69, 4 In 2.79
Au  0.6177  0.6177  0.0000  1 Au 2.69, 4 In 2.79

---

No. 13
VASP calculation (SCAN) on a crystal of KIn2Au relaxed with PBEsol.

* E: -36.305 eV per atom
* energy relative to the elements: -1.0 eV per formula unit
* spin magnetization: 0.00 μB/f.u.
* density of states at the Fermi level: 1.53 states/eV/f.u.
* space-group type: Immm (71)

a = 6.4963 Å, b = 6.4963 Å, c = 6.4963 Å
α = 150.76°, β = 128.76°, γ = 60.09°
With the nearest neighbours (Å) after each atom.
Sites, in units of the cell vectors:
K  0.0000  0.0000  0.0000  4 Au 3.25, 2 K 3.28
In  0.2928  0.7928  0.5000  2 Au 2.85
In  0.7072  0.2072  0.5000  2 Au 2.85
Au  0.5000  0.5000  0.0000  4 In 2.85